This record from Alexandria via LeMat-Bulk describes an optimized crystal structure of PrDyNi10. The functional is PBE-GGA.

Lattice parameters (Å, degrees): 3.962 4.931 8.536 90.00 90.00 90.00
Fractional coordinates of all 12 atoms:
Pr 0.000 0.000 0.000
Dy 0.000 0.500 0.500
Ni 0.000 0.000 0.338
Ni 0.000 0.000 0.662
Ni 0.000 0.500 0.172
Ni 0.000 0.500 0.828
Ni 0.500 0.000 0.500
Ni 0.500 0.252 0.254
Ni 0.500 0.252 0.746
Ni 0.500 0.500 0.000
Ni 0.500 0.748 0.254
Ni 0.500 0.748 0.746

Space group: Pmmm
ΔE_f, kJ/mol of atoms: -28
V, Å³ per cell: 166.8
Crystal system: orthorhombic